AcGeTe2O8: optimized geometry, GGA-PBE. Values from VASP.

Calculated values
final energy: -6.08 eV per atom
space group: C2/m (12)
energy relative to the elements, uncorrected: -1524 meV per atom
spin magnetization: 0.00 μB/f.u.
V: 14.0 Å³ per atom

Structure (Quantum ESPRESSO input):
```
&SYSTEM
  ibrav = 0, nat = 12, ntyp = 4
/
ATOMIC_SPECIES
Ac 227.00 Ac.upf
Ge 72.64 Ge.upf
Te 127.60 Te.upf
O 16.00 O.upf
CELL_PARAMETERS angstrom
5.986 -2.642 0.000
5.986 2.642 0.000
-1.921 0.000 5.319
ATOMIC_POSITIONS crystal
Ac 0.000 0.000 0.000
Ge 0.500 0.500 0.500
Te 0.227 0.227 0.702
Te 0.773 0.773 0.298
O 0.139 0.647 0.271
O 0.191 0.191 0.353
O 0.353 0.861 0.729
O 0.425 0.425 0.738
O 0.575 0.575 0.262
O 0.647 0.139 0.271
O 0.809 0.809 0.647
O 0.861 0.353 0.729
```


AcTiGeO6: optimized geometry, GGA-PBE. Values from VASP.

Calculated values
final energy: -7.62 eV per atom
space group: P312 (149)
energy relative to the elements, uncorrected: -2463 meV per atom
spin magnetization: 1.00 μB/f.u.
V: 13.7 Å³ per atom

Structure (Quantum ESPRESSO input):
```
&SYSTEM
  ibrav = 0, nat = 9, ntyp = 4
/
ATOMIC_SPECIES
Ac 227.00 Ac.upf
Ti 47.87 Ti.upf
Ge 72.64 Ge.upf
O 16.00 O.upf
CELL_PARAMETERS angstrom
5.183 0.000 0.000
-2.592 4.489 0.000
0.000 0.000 5.307
ATOMIC_POSITIONS crystal
Ac 0.000 0.000 0.000
Ti 0.667 0.333 0.500
Ge 0.333 0.667 0.500
O 0.008 0.387 0.704
O 0.008 0.621 0.296
O 0.379 0.387 0.296
O 0.379 0.992 0.704
O 0.613 0.621 0.704
O 0.613 0.992 0.296
```


Ac4TlGeO: optimized geometry, GGA-PBE. Values from VASP.

Calculated values
final energy: -5.10 eV per atom
space group: Cmcm (63)
energy relative to the elements, uncorrected: -1043 meV per atom
spin magnetization: 0.00 μB/f.u.
V: 32.6 Å³ per atom

Structure (Quantum ESPRESSO input):
```
&SYSTEM
  ibrav = 0, nat = 14, ntyp = 4
/
ATOMIC_SPECIES
Ac 227.00 Ac.upf
Tl 204.38 Tl.upf
Ge 72.64 Ge.upf
O 16.00 O.upf
CELL_PARAMETERS angstrom
3.534 -9.030 0.000
3.534 9.030 0.000
0.000 0.000 7.144
ATOMIC_POSITIONS crystal
Ac 0.000 0.500 0.000
Ac 0.000 0.500 0.500
Ac 0.059 0.941 0.750
Ac 0.425 0.575 0.750
Ac 0.500 0.000 0.000
Ac 0.500 0.000 0.500
Ac 0.575 0.425 0.250
Ac 0.941 0.059 0.250
Tl 0.388 0.612 0.250
Tl 0.612 0.388 0.750
Ge 0.119 0.881 0.250
Ge 0.881 0.119 0.750
O 0.288 0.712 0.750
O 0.712 0.288 0.250
```


What is the formula in the first record?
AcGeTe2O8


The lowest V belongs to which entry?
AcTiGeO6